Record 1
A relaxed SnPbS2 crystal. Source: the Alexandria database, functional GGA-PBE.

a b c (Å): 3.715 5.651 23.198
angles (deg): 90.00 90.00 90.00
Fractional positions:
Sn1 0.226 0.500 0.591
Sn2 0.774 0.500 0.091
Pb1 0.734 0.500 0.411
Pb2 0.266 0.500 0.911
S1 0.726 0.500 0.661
S2 0.274 0.500 0.161
S3 0.234 0.500 0.337
S4 0.766 0.500 0.837

Symmetry = Pmc2_1, No. 26
Calculated total energy = -4.000 eV per atom
Magnetization = 0.0 Bohr magnetons per cell
ΔE_f (raw) = -0.01 eV per atom

=====

Record 2
A relaxed Ca3Sm3PuS8 crystal. Source: the Alexandria database, functional GGA-PBE.

a b c (Å): 8.023 8.023 8.064
angles (deg): 119.83 90.00 120.00
Last column: magnetic moment on the atom in μB.
Fractional positions:
Ca1 0.000 0.000 0.000  0.01
Ca2 0.000 0.500 0.000  0.01
Ca3 0.500 0.500 0.000  0.01
Sm1 0.500 0.000 0.500  0.04
Sm2 0.500 0.500 0.500  0.04
Sm3 0.000 0.500 0.500  0.04
Pu1 0.000 0.000 0.500  5.17
S1 0.250 0.500 0.250  0.01
S2 0.750 0.500 0.750  0.01
S3 0.754 0.508 0.257  -0.03
S4 0.246 0.492 0.743  -0.03
S5 0.754 0.003 0.257  -0.03
S6 0.246 0.997 0.743  -0.03
S7 0.249 0.003 0.257  -0.03
S8 0.751 0.997 0.743  -0.03

Symmetry = R-3m, No. 166
Calculated total energy = -6.505 eV per atom
Magnetization = 5.6 Bohr magnetons per cell
ΔE_f (raw) = -2.00 eV per atom

=====

Q: Which value of calculated total energy does entry 1 give?
A: -4.000 eV per atom

=====

Please write out number 1 again, unchanged.
A relaxed SnPbS2 crystal. Source: the Alexandria database, functional GGA-PBE.

a b c (Å): 3.715 5.651 23.198
angles (deg): 90.00 90.00 90.00
Fractional positions:
Sn1 0.226 0.500 0.591
Sn2 0.774 0.500 0.091
Pb1 0.734 0.500 0.411
Pb2 0.266 0.500 0.911
S1 0.726 0.500 0.661
S2 0.274 0.500 0.161
S3 0.234 0.500 0.337
S4 0.766 0.500 0.837

Symmetry = Pmc2_1, No. 26
Calculated total energy = -4.000 eV per atom
Magnetization = 0.0 Bohr magnetons per cell
ΔE_f (raw) = -0.01 eV per atom

=====

Q: Which value of ΔE_f (raw) does entry 1 give?
A: -0.01 eV per atom

=====

Q: What is the calculated total energy in the second record?
A: -6.505 eV per atom